Record 1
Material: K2NiGeAu
Method: DFT, PBE-GGA
State: relaxed

## Properties
- Raw total energy: -3.0260 eV/atom
- Spin magnetization: 0.00 μB/f.u.

Cell and atoms, written as POSCAR:
```
K2NiGeAu
1.0
6.0341 0.0000 0.0000
0.0000 6.0341 0.0000
0.0000 0.0000 4.4450
K Ni Ge Au
2 1 1 1
direct
0.0000 0.5000 0.0000
0.5000 0.0000 0.0000
0.0000 0.0000 0.0000
0.0000 0.0000 0.5000
0.5000 0.5000 0.5000
```

Record 2
Material: YBe3Ir
Method: DFT, PBE-GGA
State: relaxed

## Properties
- Spin magnetization: 0.00 μB/f.u.
- ΔE to the lowest computed polymorph: 0 meV/atom

Cell and atoms, written as POSCAR:
```
YBe3Ir
1.0
4.2638 0.0000 0.0000
0.0000 5.2241 0.0000
-0.6494 0.0000 6.3861
Y Be Ir
2 6 2
direct
0.1226 0.2500 0.1748
0.8774 0.7500 0.8252
0.3518 0.0439 0.6206
0.3518 0.4561 0.6206
0.4427 0.7500 0.1106
0.5573 0.2500 0.8894
0.6482 0.5439 0.3794
0.6482 0.9561 0.3794
0.1461 0.7500 0.3910
0.8539 0.2500 0.6090
```

Record 3
Material: TmBeRh
Method: DFT, PBE-GGA
State: relaxed

## Properties
- Spin magnetization: 0.00 μB/f.u.
- ΔE to the lowest computed polymorph: 68 meV/atom

Cell and atoms, written as POSCAR:
```
TmBeRh
1.0
-2.4828 2.7661 3.4367
2.4828 -2.7661 3.4367
2.4828 2.7661 -3.4367
Tm Be Rh
2 2 2
direct
0.3735 0.1235 0.2500
0.6265 0.8765 0.7500
0.0000 0.0000 0.5000
0.0000 0.5000 0.0000
0.0000 0.5000 0.5000
0.5000 0.5000 0.0000
```

Record 4
Material: ZnFeGe3
Method: DFT, PBE-GGA
State: relaxed

## Properties
- Spin magnetization: 1.87 μB/f.u.
- ΔE to the lowest computed polymorph: 0 meV/atom

Cell and atoms, written as POSCAR:
```
ZnFeGe3
1.0
4.6015 0.0000 0.0000
0.0000 4.6015 0.0000
0.0000 0.0000 4.6015
Zn Fe Ge
1 1 3
direct
0.0000 0.0000 0.0000
0.5000 0.5000 0.5000
0.0000 0.5000 0.5000
0.5000 0.0000 0.5000
0.5000 0.5000 0.0000
```

Record 5
Material: Sm3Hg
Method: DFT, PBE-GGA
State: relaxed

## Properties
- Spin magnetization: 0.00 μB/f.u.
- ΔE to the lowest computed polymorph: 4 meV/atom

Cell and atoms, written as POSCAR:
```
Sm3Hg
1.0
-1.9309 5.8178 2.7393
1.9309 -5.8178 2.7393
1.9309 5.8178 -2.7393
Sm Hg
3 1
direct
0.0000 0.0000 0.0000
0.2783 0.4980 0.7803
0.7176 0.4980 0.2197
0.5015 0.0015 0.5000
```

Record 6
Material: Pr4ZnSe2Cl
Method: DFT, PBE-GGA
State: relaxed

## Properties
- Raw total energy: -5.0075 eV/atom
- Spin magnetization: 0.00 μB/f.u.

Cell and atoms, written as POSCAR:
```
Pr4ZnSe2Cl
1.0
7.4142 0.0000 0.0000
0.0000 4.1775 0.0000
-2.3318 0.0000 7.0545
Pr Zn Se Cl
4 1 2 1
direct
0.2381 0.0000 0.2429
0.2478 0.5000 0.7501
0.7522 0.5000 0.2499
0.7619 0.0000 0.7571
0.0000 0.0000 0.5000
0.0000 0.5000 0.0000
0.5000 0.0000 0.0000
0.5000 0.5000 0.5000
```

Record 7
Material: NiBiOsI2
Method: DFT, PBE-GGA
State: relaxed

## Properties
- Raw total energy: -3.7604 eV/atom
- Spin magnetization: 0.00 μB/f.u.

Cell and atoms, written as POSCAR:
```
NiBiOsI2
1.0
5.3989 0.0000 0.0000
0.0000 5.3989 0.0000
0.0000 0.0000 4.5914
Ni Bi Os I
1 1 1 2
direct
0.0000 0.0000 0.0000
0.5000 0.5000 0.0000
0.0000 0.0000 0.5000
0.0000 0.5000 0.5000
0.5000 0.0000 0.5000
```

Record 8
Material: KHgMo2P
Method: DFT, PBE-GGA
State: relaxed

## Properties
- Raw total energy: -4.7944 eV/atom
- Spin magnetization: 0.40 μB/f.u.

Cell and atoms, written as POSCAR:
```
KHgMo2P
1.0
4.6062 0.0000 0.0000
0.0000 4.6062 0.0000
0.0000 0.0000 5.4685
K Hg Mo P
1 1 2 1
direct
0.0000 0.0000 0.0000
0.5000 0.5000 0.0000
0.0000 0.5000 0.5000
0.5000 0.0000 0.5000
0.5000 0.5000 0.5000
```

What is the spin magnetization in the sixth record? 0.00 μB/f.u.

Number 7 is which compound? NiBiOsI2